The following is a PBE-GGA calculation of crystalline TaZn2GeBr at its relaxed geometry, from Alexandria via LeMat-Bulk.

```
TaZn2GeBr
1.0
4.7762 0.0000 0.0000
0.0000 5.1214 0.0000
0.0000 0.0000 4.7762
Ge Zn Br Ta
1 2 1 1
direct
0.0000 0.5000 0.0000
0.0000 0.0000 0.5000
0.5000 0.0000 0.0000
0.0000 0.0000 0.0000
0.5000 0.5000 0.5000
```

Results
Volume (Å³ per cell): 117
DOS at the Fermi energy (states/eV/cell): 3.6
Raw total energy (eV/atom): -2.696